1.
The following is a DFT calculation (PBE) of an optimized crystal structure of Y2SbPd.

```
Y2SbPd
1.0
-0.781 -1.184 -7.736
0.802 -7.746 1.104
-3.439 -4.766 -2.922
Y Sb Pd
4 2 2
Cartesian
-1.224 -2.864 -5.198
-0.479 -6.216 -1.237
-2.547 -7.153 -4.646
-2.585 -11.157 -8.027
0.000 0.000 0.000
-2.105 -5.207 -6.987
0.011 -4.465 -3.316
-1.313 -8.488 -2.567
```

Results
**Raw total energy**: -49.3 eV per cell
**Raw formation energy**: -2.40 eV/f.u.
**Crystal system**: tetragonal

***

2.
The following is a DFT calculation (PBE) of an optimized crystal structure of NdGa4Cu2.

```
NdGa4Cu2
1.0
-1.044 -1.905 3.757
5.814 1.814 2.535
-6.943 14.601 5.473
Nd Cu Ga
4 8 16
Cartesian
0.605 9.643 8.817
-2.778 4.867 2.949
-3.384 13.062 6.935
1.211 1.448 4.830
0.367 8.715 5.773
-2.540 5.795 5.992
-6.027 13.091 8.722
3.854 1.420 3.044
0.041 12.678 7.692
-2.214 1.833 4.074
-2.987 9.976 7.987
0.815 4.535 3.779
-3.381 10.161 5.465
1.208 4.350 6.300
-1.795 11.797 9.241
-0.378 2.714 2.524
-1.023 10.752 6.420
-1.149 3.758 5.346
-5.371 10.825 7.755
3.198 3.686 4.010
-2.841 7.679 4.357
0.669 6.832 7.409
-3.450 13.930 9.863
1.278 0.580 1.902
-0.319 6.608 4.515
-1.854 7.902 7.251
4.476 1.494 5.761
-6.649 13.017 6.005
```

Results
**Energy of formation**: -36 kJ per mole of atoms
**Raw total energy**: -110.7 eV per cell
**Crystal system**: orthorhombic
**Offset from the most stable computed form**: 0 meV/atom

***

3.
The following is a DFT calculation (PBE) of an optimized crystal structure of Pr3Dy8Tm2.

```
Pr3Dy8Tm2
1.0
-1.161 -5.476 -0.862
1.434 -1.480 7.469
-10.320 2.441 -1.555
Pr Dy Tm
3 8 2
Cartesian
-0.580 -2.738 -0.431
0.420 -0.434 2.189
1.013 -1.046 5.280
-2.618 -0.156 4.491
-7.429 -4.360 0.562
-3.781 -5.010 -0.267
-6.266 0.494 5.320
-7.767 -1.719 2.825
-8.364 -1.102 -0.288
-1.683 -3.413 5.341
-2.280 -2.796 2.228
-5.211 -1.911 0.622
-4.837 -2.605 4.431
```

Results
**Energy of formation**: 24 kJ per mole of atoms
**Raw total energy**: -56.9 eV per cell
**Crystal system**: monoclinic
**Offset from the most stable computed form**: 113 meV/atom

***

4.
The following is a DFT calculation (PBE) of an optimized crystal structure of Tm3Mg2Pb3.

```
Tm3Mg2Pb3
1.0
6.272 0.000 0.000
0.000 8.857 0.000
0.000 -4.428 7.670
Tm Mg Pb
6 4 6
Cartesian
4.704 2.117 0.000
4.704 3.370 5.837
4.704 -1.059 1.834
1.568 6.740 0.000
1.568 1.059 1.834
1.568 -3.370 5.837
0.000 0.000 5.114
3.136 4.428 2.557
0.000 4.428 2.557
3.136 0.000 5.114
4.704 5.322 0.000
4.704 1.768 3.062
4.704 -2.661 4.609
1.568 3.535 0.000
1.568 2.661 4.609
1.568 -1.768 3.062
```

Results
**Energy of formation**: -30 kJ per mole of atoms
**Raw total energy**: -60.4 eV per cell
**Crystal system**: hexagonal

***

5.
The following is a DFT calculation (PBE) of an optimized crystal structure of KIn2Pb2Au2.

```
KIn2Pb2Au2
1.0
-3.145 3.685 0.369
-3.864 0.199 -2.938
-7.682 -3.937 5.819
K In Pb Au
1 2 2 2
Cartesian
0.000 0.000 0.000
-11.135 -0.154 2.583
-3.556 0.101 0.666
-5.487 -1.788 3.077
-9.204 1.735 0.172
-6.108 1.185 0.079
-8.583 -1.238 3.171
```

Results
**Energy of formation**: -14 kJ per mole of atoms
**Raw total energy**: -21.6 eV per cell
**Crystal system**: trigonal

***

6.
The following is a DFT calculation (PBE) of an optimized crystal structure of BaSmPaO6.

```
BaSmPaO6
1.0
-2.596 -3.997 0.711
1.655 -0.009 5.992
-5.131 3.012 -1.803
Ba Sm Pa O
1 1 1 6
Cartesian
-1.905 -1.001 3.749
-1.298 -1.999 0.356
-2.869 2.005 0.795
-4.528 -0.878 3.145
-6.293 -0.188 0.577
-3.654 -1.956 0.272
-1.961 0.069 1.276
-4.381 1.835 2.373
-4.184 1.155 -0.738
```

Results
**Raw total energy**: -70.1 eV per cell
**Raw formation energy**: -24.18 eV/f.u.
**Crystal system**: trigonal

***

Repeat the first record exactly.
The following is a DFT calculation (PBE) of an optimized crystal structure of Y2SbPd.

```
Y2SbPd
1.0
-0.781 -1.184 -7.736
0.802 -7.746 1.104
-3.439 -4.766 -2.922
Y Sb Pd
4 2 2
Cartesian
-1.224 -2.864 -5.198
-0.479 -6.216 -1.237
-2.547 -7.153 -4.646
-2.585 -11.157 -8.027
0.000 0.000 0.000
-2.105 -5.207 -6.987
0.011 -4.465 -3.316
-1.313 -8.488 -2.567
```

Results
**Raw total energy**: -49.3 eV per cell
**Raw formation energy**: -2.40 eV/f.u.
**Crystal system**: tetragonal